No. 1
# Rb2BaCu2 PBEsol optimized geometry
data_Rb2BaCu2
_space_group_name_H-M_alt 'I 4/m m m'
_space_group_IT_number 139
_space_group_name_Hall '-I 4 2'
_cell_length_a 4.878
_cell_length_b 4.878
_cell_length_c 14.960
_cell_angle_alpha 90.00
_cell_angle_beta 90.00
_cell_angle_gamma 90.00
loop_
_atom_site_label
_atom_site_fract_x
_atom_site_fract_y
_atom_site_fract_z
Rb1 0.000 0.500 0.250
Ba1 0.000 0.000 0.000
Cu1 0.000 0.000 0.422
# formation energy = 0.396 eV per atom

***

No. 2
# BaCu2Re PBEsol optimized geometry
data_BaCu2Re
_space_group_name_H-M_alt 'P 1 m 1'
_space_group_IT_number 6
_cell_length_a 2.908
_cell_length_b 4.071
_cell_length_c 6.569
_cell_angle_alpha 90.00
_cell_angle_beta 99.41
_cell_angle_gamma 90.00
loop_
_space_group_symop_operation_xyz
'x,y,z'
'x,-y,z'
loop_
_atom_site_label
_atom_site_fract_x
_atom_site_fract_y
_atom_site_fract_z
Ba1 0.000 0.000 0.000
Cu1 0.624 0.500 0.305
Cu2 0.682 0.000 0.521
Re1 0.245 0.500 0.623
# ΔE to the lowest computed polymorph = 111 meV per atom
# formation energy = 0.766 eV per atom

***

No. 3
# BaCu2Re PBEsol optimized geometry
data_BaCu2Re
_space_group_name_H-M_alt 'P m m m'
_space_group_IT_number 47
_cell_length_a 2.941
_cell_length_b 3.488
_cell_length_c 7.159
_cell_angle_alpha 90.00
_cell_angle_beta 90.00
_cell_angle_gamma 90.00
loop_
_space_group_symop_operation_xyz
'x,y,z'
'-x,-y,-z'
'-x,-y,z'
'x,y,-z'
'x,-y,-z'
'-x,y,z'
'-x,y,-z'
'x,-y,z'
loop_
_atom_site_label
_atom_site_fract_x
_atom_site_fract_y
_atom_site_fract_z
Ba1 0.000 0.000 0.000
Cu1 0.500 0.500 0.330
Re1 0.000 0.000 0.500
# ΔE to the lowest computed polymorph = 0 meV per atom
# formation energy = 0.654 eV per atom

***

No. 4
# BaCuRe2 PBEsol optimized geometry
data_BaCuRe2
_space_group_name_H-M_alt 'P 4 m m'
_space_group_IT_number 99
_cell_length_a 3.144
_cell_length_b 3.144
_cell_length_c 7.809
_cell_angle_alpha 90.00
_cell_angle_beta 90.00
_cell_angle_gamma 90.00
loop_
_space_group_symop_operation_xyz
'x,y,z'
'-y,x,z'
'-x,-y,z'
'y,-x,z'
'-x,y,z'
'y,x,z'
'x,-y,z'
'-y,-x,z'
loop_
_atom_site_label
_atom_site_fract_x
_atom_site_fract_y
_atom_site_fract_z
Ba1 0.000 0.000 0.000
Cu1 0.500 0.500 0.314
Re1 0.000 0.000 0.502
Re2 0.500 0.500 0.664
# formation energy = 0.537 eV per atom

***

No. 5
# BaCu2Re PBEsol optimized geometry
data_BaCu2Re
_space_group_name_H-M_alt 'P 4/m m m'
_space_group_IT_number 123
_space_group_name_Hall '-P 4 2'
_cell_length_a 4.927
_cell_length_b 4.927
_cell_length_c 2.896
_cell_angle_alpha 90.00
_cell_angle_beta 90.00
_cell_angle_gamma 90.00
loop_
_atom_site_label
_atom_site_fract_x
_atom_site_fract_y
_atom_site_fract_z
Ba1 0.000 0.000 0.000
Cu1 0.000 0.500 0.500
Re1 0.500 0.500 0.000
# ΔE to the lowest computed polymorph = 301 meV per atom
# formation energy = 0.955 eV per atom

***

No. 6
# Ba2CuRh PBEsol optimized geometry
data_Ba2CuRh
_space_group_name_H-M_alt 'R 3 m'
_space_group_IT_number 160
_space_group_name_Hall 'R 3 -2"'
_cell_length_a 4.3609
_cell_length_b 4.3609
_cell_length_c 24.5282
_cell_angle_alpha 90.00
_cell_angle_beta 90.00
_cell_angle_gamma 120.00
loop_
_atom_site_label
_atom_site_fract_x
_atom_site_fract_y
_atom_site_fract_z
Ba1 0.0000 0.0000 0.0000
Ba2 0.0000 0.0000 0.1639
Cu1 0.0000 0.0000 0.7487
Rh1 0.0000 0.0000 0.4152
# ΔE to the lowest computed polymorph = 0 meV per atom
# formation energy = -0.118 eV per atom